# 1
# YSi2

A relaxed YSi2 crystal (PBEsol, Alexandria via LeMat-Bulk).

Properties
D(E_F) (states/eV/cell): 1.78
Formation energy from raw total energies (eV per atom): -0.62
Symmetry: No. 191

abc: 3.859 4.081 4.081
angles: 120.00 90.00 90.00
Element x y z (fractional)
1 Y 0.500 0.000 0.000
2 Si 0.000 0.333 0.667
3 Si 0.000 0.667 0.333

***

# 2
# AlCoTe2F

A relaxed AlCoTe2F crystal (PBEsol, Alexandria via LeMat-Bulk).

Properties
D(E_F) (states/eV/cell): 5.25
Formation energy from raw total energies (eV per atom): 0.18
Symmetry: No. 123

abc: 3.528 5.499 5.499
angles: 90.00 90.00 90.00
Each line ends with the local moment (μB).
Element x y z (fractional)
1 Te 0.000 0.000 0.500  0.02
2 Te 0.000 0.500 0.000  0.02
3 Co 0.500 0.000 0.000  1.99
4 Al 0.500 0.500 0.500  -0.01
5 F 0.000 0.000 0.000  0.11

***

# 3
# NiAuBr

A relaxed NiAuBr crystal (PBEsol, Alexandria via LeMat-Bulk).

Properties
D(E_F) (states/eV/cell): 7.20
Formation energy from raw total energies (eV per atom): 0.78
Symmetry: No. 216

abc: 4.388 4.388 4.388
angles: 60.00 60.00 60.00
Each line ends with the local moment (μB).
Element x y z (fractional)
1 Au 0.250 0.250 0.250  -0.01
2 Br 0.000 0.000 0.000  0.02
3 Ni 0.500 0.500 0.500  0.49

***

# 4
# LiCaSi

A relaxed LiCaSi crystal (PBEsol, Alexandria via LeMat-Bulk).

Properties
D(E_F) (states/eV/cell): 2.84
Formation energy from raw total energies (eV per atom): 0.31
Symmetry: No. 216

abc: 4.806 4.806 4.806
angles: 60.00 60.00 60.00
Each line ends with the local moment (μB).
Element x y z (fractional)
1 Ca 0.750 0.750 0.750  0.10
2 Si 0.500 0.500 0.500  0.24
3 Li 0.000 0.000 0.000  0.00

***

# 5
# TcAgPt

A relaxed TcAgPt crystal (PBEsol, Alexandria via LeMat-Bulk).

Properties
D(E_F) (states/eV/cell): 2.97
Symmetry: No. 156
DFT formation energy (eV per atom): 0.1343

abc: 2.739 2.739 6.933
angles: 90.00 90.00 120.00
Element x y z (fractional)
1 Ag 0.000 0.000 0.002
2 Pt 0.667 0.333 0.653
3 Tc 0.333 0.667 0.344

***

# 6
# MgCu2W

A relaxed MgCu2W crystal (PBEsol, Alexandria via LeMat-Bulk).

Properties
D(E_F) (states/eV/cell): 2.41
Symmetry: No. 123
DFT formation energy (eV per atom): 0.3022

abc: 2.661 4.570 4.570
angles: 90.00 90.00 90.00
Element x y z (fractional)
1 Cu 0.000 0.000 0.500
2 Cu 0.000 0.500 0.000
3 Mg 0.500 0.500 0.500
4 W 0.500 0.000 0.000

***

# 7
# Ba2SbH2

A relaxed Ba2SbH2 crystal (PBEsol, Alexandria via LeMat-Bulk).

Properties
D(E_F) (states/eV/cell): 1.34
Final energy (eV for the cell shown): -35.96
Symmetry: No. 127

abc: 3.452 8.210 8.210
angles: 90.00 90.00 90.00
Element x y z (fractional)
1 Sb 0.000 0.000 0.000
2 Sb 0.000 0.500 0.500
3 Ba 0.500 0.163 0.663
4 Ba 0.500 0.663 0.837
5 Ba 0.500 0.837 0.337
6 Ba 0.500 0.337 0.163
7 H 0.000 0.395 0.895
8 H 0.000 0.895 0.605
9 H 0.000 0.605 0.105
10 H 0.000 0.105 0.395

***

# 8
# KCa10P7O28

A relaxed KCa10P7O28 crystal (PBEsol, Alexandria via LeMat-Bulk).

Properties
D(E_F) (states/eV/cell): 0.00
Formation energy from raw total energies (eV per atom): -2.91
Symmetry: No. 161

abc: 10.461 10.461 13.745
angles: 67.63 67.63 60.00
Element x y z (fractional)
1 K 0.549 0.549 0.352
2 K 0.049 0.049 0.852
3 Ca 0.867 0.867 0.399
4 Ca 0.367 0.367 0.899
5 Ca 0.814 0.775 0.198
6 Ca 0.775 0.213 0.198
7 Ca 0.213 0.814 0.198
8 Ca 0.275 0.314 0.698
9 Ca 0.314 0.713 0.698
10 Ca 0.713 0.275 0.698
11 Ca 0.432 0.024 0.104
12 Ca 0.024 0.439 0.104
13 Ca 0.439 0.432 0.104
14 Ca 0.524 0.932 0.604
15 Ca 0.932 0.939 0.604
16 Ca 0.939 0.524 0.604
17 Ca 0.308 0.931 0.420
18 Ca 0.931 0.340 0.420
19 Ca 0.340 0.308 0.420
20 Ca 0.431 0.808 0.920
21 Ca 0.808 0.840 0.920
22 Ca 0.840 0.431 0.920
23 P 0.553 0.049 0.302
24 P 0.049 0.097 0.302
25 P 0.097 0.553 0.302
26 P 0.549 0.053 0.802
27 P 0.053 0.597 0.802
28 P 0.597 0.549 0.802
29 P 0.680 0.637 0.496
30 P 0.637 0.187 0.496
31 P 0.187 0.680 0.496
32 P 0.137 0.180 0.996
33 P 0.180 0.687 0.996
34 P 0.687 0.137 0.996
35 P 0.635 0.635 0.095
36 P 0.135 0.135 0.595
37 O 0.507 0.956 0.266
38 O 0.956 0.270 0.266
39 O 0.270 0.507 0.266
40 O 0.456 0.007 0.766
41 O 0.007 0.770 0.766
42 O 0.770 0.456 0.766
43 O 0.491 0.220 0.248
44 O 0.220 0.041 0.248
45 O 0.041 0.491 0.248
46 O 0.720 0.991 0.748
47 O 0.991 0.541 0.748
48 O 0.541 0.720 0.748
49 O 0.488 0.030 0.425
50 O 0.030 0.057 0.425
51 O 0.057 0.488 0.425
52 O 0.530 0.988 0.925
53 O 0.988 0.557 0.925
54 O 0.557 0.530 0.925
55 O 0.729 0.985 0.271
56 O 0.985 0.015 0.271
57 O 0.015 0.729 0.271
58 O 0.485 0.229 0.771
59 O 0.505 0.702 0.531
60 O 0.229 0.515 0.771
61 O 0.734 0.733 0.521
62 O 0.733 0.012 0.521
63 O 0.012 0.734 0.521
64 O 0.233 0.234 0.021
65 O 0.234 0.512 0.021
66 O 0.512 0.233 0.021
67 O 0.764 0.471 0.559
68 O 0.471 0.206 0.559
69 O 0.206 0.764 0.559
70 O 0.971 0.264 0.059
71 O 0.264 0.706 0.059
72 O 0.706 0.971 0.059
73 O 0.177 0.177 0.469
74 O 0.677 0.677 0.969
75 O 0.977 0.128 0.635
76 O 0.259 0.977 0.635
77 O 0.128 0.259 0.635
78 O 0.477 0.759 0.135
79 O 0.628 0.477 0.135
80 O 0.759 0.628 0.135
81 O 0.756 0.132 0.875
82 O 0.237 0.756 0.875
83 O 0.132 0.237 0.875
84 O 0.256 0.737 0.375
85 O 0.632 0.256 0.375
86 O 0.737 0.632 0.375
87 O 0.762 0.202 0.031
88 O 0.005 0.762 0.031
89 O 0.202 0.005 0.031
90 O 0.262 0.505 0.531
91 O 0.702 0.262 0.531
92 O 0.515 0.485 0.771

***

# 9
# U2Pd3Rh3

A relaxed U2Pd3Rh3 crystal (PBEsol, Alexandria via LeMat-Bulk).

Properties
D(E_F) (states/eV/cell): 8.09
Symmetry: No. 47
DFT formation energy (eV per atom): -0.5817

abc: 3.876 4.000 8.257
angles: 90.00 90.00 90.00
Each line ends with the local moment (μB).
Element x y z (fractional)
1 U 0.000 0.000 0.757  0.80
2 U 0.000 0.000 0.243  0.80
3 Pd 0.500 0.000 0.500  -0.02
4 Pd 0.000 0.500 0.000  -0.03
5 Pd 0.000 0.500 0.500  -0.03
6 Rh 0.500 0.500 0.750  -0.10
7 Rh 0.500 0.500 0.250  -0.10
8 Rh 0.500 0.000 0.000  -0.12

***

# 10
# Be2SbAs

A relaxed Be2SbAs crystal (PBEsol, Alexandria via LeMat-Bulk).

Properties
D(E_F) (states/eV/cell): 1.41
Formation energy from raw total energies (eV per atom): 0.34
Symmetry: No. 44

abc: 3.412 3.380 6.057
angles: 106.20 106.36 90.00
Element x y z (fractional)
1 Sb 0.453 0.453 0.906
2 As 0.720 0.220 0.440
3 Be 0.083 0.083 0.167
4 Be 0.243 0.743 0.487

***

# 11
# InPbCl2

A relaxed InPbCl2 crystal (PBEsol, Alexandria via LeMat-Bulk).

Properties
D(E_F) (states/eV/cell): 4.19
Formation energy from raw total energies (eV per atom): -0.35
Symmetry: No. 216

abc: 5.158 5.158 5.158
angles: 60.00 60.00 60.00
Element x y z (fractional)
1 Pb 0.250 0.250 0.250
2 Cl 0.000 0.000 0.000
3 Cl 0.750 0.750 0.750
4 In 0.500 0.500 0.500

***

# 12
# LaSiPt4

A relaxed LaSiPt4 crystal (PBEsol, Alexandria via LeMat-Bulk).

Properties
D(E_F) (states/eV/cell): 4.55
Formation energy from raw total energies (eV per atom): -0.56
Symmetry: No. 216

abc: 5.335 5.335 5.335
angles: 60.00 60.00 60.00
Element x y z (fractional)
1 La 0.000 0.000 0.000
2 Pt 0.376 0.376 0.376
3 Pt 0.376 0.376 0.873
4 Pt 0.873 0.376 0.376
5 Pt 0.376 0.873 0.376
6 Si 0.750 0.750 0.750

***

| no. | volume (Å³ per cell) |
| --- | --- |
| 1 | 55.7 |
| 2 | 106.7 |
| 3 | 59.7 |
| 4 | 78.5 |
| 5 | 45.0 |
| 6 | 55.6 |
| 7 | 232.7 |
| 8 | 1170.1 |
| 9 | 128.0 |
| 10 | 64.1 |
| 11 | 97.1 |
| 12 | 107.4 |